(1)
A relaxed LiTeNO2 crystal. Source: the Alexandria database, functional GGA-PBE.

Computed properties:
As for the formation energy from raw total energies: 0.465 eV/atom. As for the density of states at the Fermi level: 0.409 states/eV per atom.

abc: 3.608 3.608 3.952
angles: 90.00 90.00 90.00
Sites, in units of the cell vectors:
Li1 0.000 0.000 0.000
Te1 0.500 0.500 0.500
N1 0.000 0.000 0.500
O1 0.000 0.500 0.000
O2 0.500 0.000 0.000


(2)
A relaxed NdZn2Cd4 crystal. Source: the Alexandria database, functional GGA-PBE.

Computed properties:
The value obtained for the formation energy is -1.49 eV/f.u. As for the density of states at the Fermi level: 0.546 states/eV per atom.

abc: 8.024 8.024 4.452
angles: 90.00 90.00 147.62
Sites, in units of the cell vectors:
Nd1 0.000 0.000 0.000
Zn1 0.423 0.577 0.500
Zn2 0.577 0.423 0.500
Cd1 0.177 0.823 0.500
Cd2 0.320 0.680 0.000
Cd3 0.680 0.320 0.000
Cd4 0.823 0.177 0.500


(3)
A relaxed AsRh crystal. Source: the Alexandria database, functional GGA-PBE.

Computed properties:
The value obtained for the formation energy is -0.46 eV/f.u. As for the density of states at the Fermi level: 0.599 states/eV per atom.

abc: 3.125 3.125 8.207
angles: 90.00 90.00 120.00
Sites, in units of the cell vectors:
As1 0.333 0.667 0.000
As2 0.667 0.333 0.500
Rh1 0.333 0.667 0.303
Rh2 0.667 0.333 0.803


(4)
A relaxed Ce5Si2Sb crystal. Source: the Alexandria database, functional GGA-PBE.

Computed properties:
As for the formation energy from raw total energies: -0.624 eV/atom. As for the density of states at the Fermi level: 2.863 states/eV per atom.

abc: 8.890 8.890 8.890
angles: 127.89 127.89 76.80
Sites, in units of the cell vectors:
Ce1 0.000 0.000 0.000
Ce2 0.030 0.530 0.842
Ce3 0.188 0.030 0.500
Ce4 0.312 0.812 0.842
Ce5 0.470 0.312 0.500
Ce6 0.500 0.500 0.000
Ce7 0.530 0.688 0.500
Ce8 0.688 0.188 0.158
Ce9 0.812 0.970 0.500
Ce10 0.970 0.470 0.158
Si1 0.121 0.379 0.500
Si2 0.379 0.879 0.259
Si3 0.621 0.121 0.741
Si4 0.879 0.621 0.500
Sb1 0.250 0.250 0.000
Sb2 0.750 0.750 0.000


Number 1 is which compound?
LiTeNO2


Which formula does entry 1 have?
LiTeNO2